{"formula": "SrY2GaN", "functional": "GGA-PBE", "state": "relaxed", "dos_ef_per_ev_cell": 3.23, "e_tot_ev_per_atom": -5.950, "cell": [[-4.1241, -1.0079, 2.2728], [2.4482, -0.8787, 4.0527], [-0.4582, 4.8898, 1.3370]], "species": ["Y", "Y", "Sr", "Ga", "N"], "fractional_positions": [[0.0000, 0.5000, 0.0000], [0.5000, 0.0000, 0.0000], [0.0000, 0.0000, 0.5000], [0.5000, 0.5000, 0.5000], [0.0000, 0.0000, 0.0000]]}

{"formula": "Nb3MoN", "functional": "GGA-PBE", "state": "relaxed", "relative_energy_mev_per_atom": 2577, "dos_ef_per_ev_cell": 2.79, "cell": [[-1.4666, 3.5136, -2.9197], [-0.8371, -3.2213, -3.4560], [-4.4910, -0.5470, 1.5976]], "species": ["Mo", "Nb", "Nb", "Nb", "N"], "fractional_positions": [[0.0000, 0.0000, 0.0000], [0.0000, 0.5000, 0.0000], [0.0000, 0.0000, 0.5000], [0.5000, 0.0000, 0.0000], [0.5000, 0.5000, 0.5000]]}

{"formula": "CeZrCu", "functional": "GGA-PBE", "state": "relaxed", "relative_energy_mev_per_atom": 0, "dos_ef_per_ev_cell": 9.49, "formation_energy_ev_per_atom": -0.03, "cell": [[4.5891, 0.0000, 0.0000], [-2.2946, 2.3418, 0.1134], [0.0000, -1.5834, 11.7201]], "species": ["Zr", "Zr", "Ce", "Ce", "Cu", "Cu"], "fractional_positions": [[0.2698, 0.5396, 0.0887], [0.7302, 0.4604, 0.9113], [0.3198, 0.6397, 0.4019], [0.6802, 0.3603, 0.5981], [0.2015, 0.4031, 0.7755], [0.7985, 0.5969, 0.2245]]}

Number 3 is which compound?
CeZrCu